No. 1
Density functional theory data (PBE-GGA) for a geometry-optimized ScNi2PtI structure.

```
5
Lattice="4.645 0.000 0.000 0.000 5.294 0.000 0.000 0.000 4.645" Properties=species:S:1:pos:R:3 pbc="T T T"
Sc 2.322 2.647 2.322
Ni 0.000 0.000 2.322
Ni 2.322 0.000 0.000
Pt 0.000 0.000 0.000
I 0.000 2.647 0.000
```

Output
symmetry	P4/mmm, No. 123
energy relative to the elements, uncorrected	0.663	eV/atom
raw total energy	-0.163	Ha/atom

No. 2
Density functional theory data (PBE-GGA) for a geometry-optimized Sm6Ni2PtI3 structure.

```
12
Lattice="7.176 -0.003 0.000 -3.589 6.215 0.000 -1.196 -2.071 7.997" Properties=species:S:1:pos:R:3 pbc="T T T"
I -2.392 4.142 3.999
I 1.196 2.070 3.999
I 4.783 -0.002 3.999
Sm 2.464 -0.001 1.457
Sm -1.232 2.134 1.457
Sm 2.355 4.078 1.454
Sm 3.624 2.007 6.541
Sm -0.072 4.142 6.541
Sm 0.036 0.063 6.543
Pt 0.000 0.000 0.000
Ni -0.001 4.142 0.000
Ni 3.588 2.070 0.000
```

Output
symmetry	C2/m, No. 12
energy relative to the elements, uncorrected	-0.820	eV/atom
raw total energy	-0.185	Ha/atom

No. 3
Density functional theory data (PBE-GGA) for a geometry-optimized Sm8NiPt3I4 structure.

```
16
Lattice="8.404 0.000 0.000 0.000 9.343 0.660 -4.202 -4.200 5.945" Properties=species:S:1:pos:R:3 pbc="T T T"
I 2.101 -2.100 2.972
I -2.101 -2.100 2.972
I 4.202 0.000 0.000
I 0.000 0.000 0.000
Pt 2.101 2.572 3.302
Pt 4.202 4.672 0.330
Pt -2.101 2.572 3.302
Sm 2.051 2.789 0.448
Sm -2.151 2.354 6.156
Sm 2.151 2.354 6.156
Sm 4.202 4.492 3.175
Sm 4.202 0.639 3.493
Sm 0.000 0.652 3.429
Sm 0.000 4.505 3.111
Sm 6.354 2.789 0.448
Ni 0.000 4.672 0.330
```

Output
symmetry	R-3m, No. 166
energy relative to the elements, uncorrected	-1.009	eV/atom
raw total energy	-0.193	Ha/atom

No. 4
Density functional theory data (PBE-GGA) for a geometry-optimized NiTe2PtI structure.

```
5
Lattice="5.012 0.000 0.000 0.000 5.012 0.000 0.000 0.000 5.043" Properties=species:S:1:pos:R:3 pbc="T T T"
Te 2.506 0.000 0.000
Te 0.000 2.506 0.000
Ni 0.000 0.000 0.000
I 0.000 0.000 2.521
Pt 2.506 2.506 2.521
```

Output
symmetry	P4/mmm, No. 123
energy relative to the elements, uncorrected	0.749	eV/atom
raw total energy	-0.117	Ha/atom
energy relative to the lowest polymorph listed for this composition	0.000	eV per atom

No. 5
Density functional theory data (PBE-GGA) for a geometry-optimized PuNiI6 structure.

```
8
Lattice="-7.114 0.881 2.945 -5.223 -4.952 -2.836 -1.210 -6.600 3.202" Properties=species:S:1:pos:R:3 pbc="T T T"
I -2.791 -0.903 0.041
I -9.545 -3.168 0.068
I -8.219 -6.231 3.113
I -7.354 -8.635 0.705
I -6.192 -2.036 2.606
I -5.327 -4.440 0.198
Ni -6.168 -2.035 0.054
Pu 0.000 0.000 0.000
```

Output
symmetry	C2/m, No. 12
energy relative to the elements, uncorrected	-0.510	eV/atom
raw total energy	-0.154	Ha/atom

No. 6
Density functional theory data (PBE-GGA) for a geometry-optimized PuNiI structure.

```
6
Lattice="4.069 0.000 0.000 0.000 3.870 0.000 0.000 1.935 10.246" Properties=species:S:1:pos:R:3 pbc="T T T"
Pu 3.052 1.935 8.681
Pu 1.017 3.870 1.565
I 1.017 3.870 6.887
I 3.052 1.935 3.359
Ni 3.052 1.935 0.607
Ni 1.017 3.870 9.639
```

Output
symmetry	Cmcm, No. 63
energy relative to the elements, uncorrected	-0.493	eV/atom
raw total energy	-0.283	Ha/atom

No. 7
Density functional theory data (PBE-GGA) for a geometry-optimized PuNiI2 structure.

```
4
Lattice="3.893 0.000 0.000 1.946 3.371 0.000 1.946 1.124 9.310" Properties=species:S:1:pos:R:3 pbc="T T T"
I 1.946 1.124 6.197
I 5.839 3.371 3.113
Pu 0.000 0.000 0.000
Ni 3.893 2.248 4.655
```

Output
symmetry	R-3m, No. 166
energy relative to the elements, uncorrected	0.081	eV/atom
raw total energy	-0.210	Ha/atom

No. 8
Density functional theory data (PBE-GGA) for a geometry-optimized RbNiI structure.

```
3
Lattice="0.000 3.529 3.529 3.529 0.000 3.529 3.529 3.529 0.000" Properties=species:S:1:pos:R:3 pbc="T T T"
I 5.293 5.293 5.293
Ni 3.529 3.529 3.529
Rb 1.764 1.764 1.764
```

Output
symmetry	F-43m, No. 216
energy relative to the elements, uncorrected	0.242	eV/atom
raw total energy	-0.093	Ha/atom
energy relative to the lowest polymorph listed for this composition	0.562	eV per atom

No. 9
Density functional theory data (PBE-GGA) for a geometry-optimized RbNiI structure.

```
6
Lattice="-3.730 -4.110 3.496 -0.798 -2.410 -3.693 3.502 -6.394 6.083" Properties=species:S:1:pos:R:3 pbc="T T T"
Rb -3.429 -5.452 0.605
Rb -2.202 -9.060 2.698
Ni -0.422 -4.452 2.022
Ni -0.477 -6.762 0.821
I 0.404 -6.412 3.121
I -1.095 -2.412 0.838
```

Output
symmetry	P1, No. 1
energy relative to the elements, uncorrected	-0.275	eV/atom
raw total energy	-0.112	Ha/atom
energy relative to the lowest polymorph listed for this composition	0.045	eV per atom

No. 10
Density functional theory data (PBE-GGA) for a geometry-optimized RbNiI structure.

```
6
Lattice="9.950 0.000 -0.004 0.000 4.263 0.000 0.379 0.000 4.808" Properties=species:S:1:pos:R:3 pbc="T T T"
Rb 3.086 0.000 3.966
Rb 8.781 0.000 4.315
I 0.814 2.131 1.736
I 5.418 2.131 0.977
Ni 5.960 0.000 2.211
Ni 6.069 2.131 3.385
```

Output
symmetry	Pm, No. 6
energy relative to the elements, uncorrected	-0.319	eV/atom
raw total energy	-0.113	Ha/atom
energy relative to the lowest polymorph listed for this composition	0.001	eV per atom

No. 11
Density functional theory data (PBE-GGA) for a geometry-optimized RbNiI2 structure.

```
8
Lattice="-0.147 -7.042 4.319 8.237 -0.450 -0.454 4.363 -1.552 5.521" Properties=species:S:1:pos:R:3 pbc="T T T"
Ni 8.323 -2.874 3.500
Ni 4.045 -3.746 1.933
I 7.200 -4.022 5.541
I 2.044 -4.081 3.554
I 6.205 -2.314 2.105
I 9.457 -7.670 7.572
Rb 4.131 -6.170 5.886
Rb 0.000 0.000 0.000
```

Output
symmetry	I-42d, No. 122
energy relative to the elements, uncorrected	-0.591	eV/atom
raw total energy	-0.112	Ha/atom
energy relative to the lowest polymorph listed for this composition	0.000	eV per atom

No. 12
Density functional theory data (PBE-GGA) for a geometry-optimized RbNiI4 structure.

```
24
Lattice="9.521 0.304 0.000 -2.269 10.381 0.000 0.000 0.000 11.403" Properties=species:S:1:pos:R:3 pbc="T T T"
I 3.582 6.665 9.552
I 0.649 10.191 1.212
I -0.062 3.060 11.295
I 0.596 9.274 8.398
I 0.761 6.450 2.696
I 6.544 5.152 4.489
I 7.296 9.363 3.850
I 6.492 4.236 8.707
I 3.564 8.403 5.809
I 3.670 4.020 1.851
I 3.688 2.283 5.594
I 7.314 7.625 0.107
I 0.708 5.533 6.914
I 6.656 1.411 3.005
I 6.604 0.494 10.191
I -0.044 1.322 7.553
Rb 4.020 8.101 1.910
Rb 0.394 2.758 3.791
Rb 3.232 2.585 9.493
Rb 6.858 7.927 7.611
Ni 5.115 3.231 3.772
Ni -0.781 8.269 1.929
Ni 8.033 2.416 9.473
Ni 2.138 7.455 7.631
```

Output
symmetry	P2_1/c, No. 14
energy relative to the elements, uncorrected	-0.470	eV/atom
raw total energy	-0.097	Ha/atom
energy relative to the lowest polymorph listed for this composition	0.000	eV per atom